# VRhO2 GGA+U optimized geometry
data_VRhO2
_chemical_formula_sum 'V4 Rh4 O8'
_cell_length_a 4.779
_cell_length_b 4.779
_cell_length_c 9.317
_cell_angle_alpha 90.00
_cell_angle_beta 90.00
_cell_angle_gamma 90.00
_symmetry_space_group_name_H-M 'I -4 2 d'
_symmetry_Int_Tables_number 122
_symmetry_space_group_name_Hall 'I -4 2bw'
loop_
_atom_site_label
_atom_site_fract_x
_atom_site_fract_y
_atom_site_fract_z
V1 0.000 0.000 0.000
Rh1 0.000 0.000 0.500
O1 0.198 0.250 0.125
# Total magnetization in μB/cell: 0.51
# Calculated density in g/cm3: 5.8
# Density of states at the Fermi level in states/eV per atom: 0.587
# Energy above the most stable polymorph in this dataset in eV/atom: 0.380